# CdHgTe2 (PBE, optimized geometry)
# - final energy (eV per formula unit) = -7.1
# - N(E_F) (states/eV/cell) = 10.4
# - formation energy (no corrections) (meV/atom) = 108
# - spin magnetization (Bohr magnetons per cell) = 0.000
data_CdHgTe2
_cell_length_a 3.6211
_cell_length_b 3.6211
_cell_length_c 31.4781
_cell_angle_alpha 90.00
_cell_angle_beta 90.00
_cell_angle_gamma 120.00
_symmetry_space_group_name_H-M 'R 3 m'
_symmetry_Int_Tables_number 160
_symmetry_space_group_name_Hall 'R 3 -2"'
loop_
_atom_site_label
_atom_site_type_symbol
_atom_site_fract_x
_atom_site_fract_y
_atom_site_fract_z
_atom_site_occupancy
Cd1 Cd 0.0000 0.0000 0.0000 1
Hg1 Hg 0.0000 0.0000 0.7347 1
Te1 Te 0.0000 0.0000 0.2649 1
Te2 Te 0.0000 0.0000 0.4743 1

---

# BaSbAu (PBE, optimized geometry)
# - final energy (eV per formula unit) = -10.3
# - N(E_F) (states/eV/cell) = 1.5
# - formation energy (no corrections) (meV/atom) = -321
# - spin magnetization (Bohr magnetons per cell) = 0.000
data_BaSbAu
_cell_length_a 5.6797
_cell_length_b 5.6797
_cell_length_c 6.8918
_cell_angle_alpha 90.00
_cell_angle_beta 90.00
_cell_angle_gamma 120.00
_symmetry_space_group_name_H-M 'P 63/m m c'
_symmetry_Int_Tables_number 194
_symmetry_space_group_name_Hall '-P 6c 2c'
loop_
_atom_site_label
_atom_site_type_symbol
_atom_site_fract_x
_atom_site_fract_y
_atom_site_fract_z
_atom_site_occupancy
Ba1 Ba 0.3333 0.6667 0.2500 1
Sb1 Sb 0.3333 0.6667 0.7500 1
Au1 Au 0.0000 0.0000 0.0000 1

---

# CdGa2Br4 (PBE, optimized geometry)
# - final energy (eV per formula unit) = -18.2
# - N(E_F) (states/eV/cell) = 0.0
# - formation energy (no corrections) (meV/atom) = -648
# - spin magnetization (Bohr magnetons per cell) = 0.000
data_CdGa2Br4
_cell_length_a 15.937
_cell_length_b 4.142
_cell_length_c 8.176
_cell_angle_alpha 90.00
_cell_angle_beta 120.05
_cell_angle_gamma 90.00
_symmetry_space_group_name_H-M 'C 1 2/m 1'
_symmetry_Int_Tables_number 12
loop_
_symmetry_equiv_pos_as_xyz
'x,y,z'
'-x,-y,-z'
'-x,y,-z'
'x,-y,z'
'x+1/2,y+1/2,z'
'-x+1/2,-y+1/2,-z'
'-x+1/2,y+1/2,-z'
'x+1/2,-y+1/2,z'
loop_
_atom_site_label
_atom_site_type_symbol
_atom_site_fract_x
_atom_site_fract_y
_atom_site_fract_z
_atom_site_occupancy
Cd1 Cd 0.000 0.000 0.000 1
Ga1 Ga 0.220 0.500 0.695 1
Br1 Br 0.115 0.500 0.980 1
Br2 Br 0.122 0.000 0.400 1

---

# In2PdS (PBE, optimized geometry)
# - final energy (eV per formula unit) = -15.7
# - N(E_F) (states/eV/cell) = 0.3
# - formation energy (no corrections) (meV/atom) = -232
# - spin magnetization (Bohr magnetons per cell) = 0.000
data_In2PdS
_cell_length_a 6.801
_cell_length_b 6.801
_cell_length_c 8.847
_cell_angle_alpha 90.00
_cell_angle_beta 90.00
_cell_angle_gamma 90.00
_symmetry_space_group_name_H-M 'I -4 2 d'
_symmetry_Int_Tables_number 122
_symmetry_space_group_name_Hall 'I -4 2bw'
loop_
_atom_site_label
_atom_site_type_symbol
_atom_site_fract_x
_atom_site_fract_y
_atom_site_fract_z
_atom_site_occupancy
In1 In 0.250 0.250 0.375 1
Pd1 Pd 0.000 0.000 0.000 1
S1 S 0.000 0.000 0.500 1

---

# K2LiP (PBE, optimized geometry)
# - final energy (eV per formula unit) = -9.0
# - N(E_F) (states/eV/cell) = 1.9
# - ΔH_f (0 K) (eV per atom) = 0.12
# - spin magnetization (Bohr magnetons per cell) = 0.000
data_K2LiP
_cell_length_a 3.711
_cell_length_b 3.711
_cell_length_c 10.232
_cell_angle_alpha 90.00
_cell_angle_beta 90.00
_cell_angle_gamma 90.00
_symmetry_space_group_name_H-M 'P 4/m m m'
_symmetry_Int_Tables_number 123
_symmetry_space_group_name_Hall '-P 4 2'
loop_
_atom_site_label
_atom_site_type_symbol
_atom_site_fract_x
_atom_site_fract_y
_atom_site_fract_z
_atom_site_occupancy
K1 K 0.000 0.000 0.186 1
Li1 Li 0.500 0.500 0.500 1
P1 P 0.500 0.500 0.000 1

---

# Tb2PrTm2Th2 (PBE, optimized geometry)
# - final energy (eV per formula unit) = -36.9
# - N(E_F) (states/eV/cell) = 16.6
# - ΔH_f (0 K) (eV per atom) = 0.13
# - spin magnetization (Bohr magnetons per cell) = 0.000
data_Tb2PrTm2Th2
_cell_length_a 17.249
_cell_length_b 3.503
_cell_length_c 8.884
_cell_angle_alpha 90.00
_cell_angle_beta 120.70
_cell_angle_gamma 90.00
_symmetry_space_group_name_H-M 'C 1 2/m 1'
_symmetry_Int_Tables_number 12
loop_
_symmetry_equiv_pos_as_xyz
'x,y,z'
'-x,-y,-z'
'-x,y,-z'
'x,-y,z'
'x+1/2,y+1/2,z'
'-x+1/2,-y+1/2,-z'
'-x+1/2,y+1/2,-z'
'x+1/2,-y+1/2,z'
loop_
_atom_site_label
_atom_site_type_symbol
_atom_site_fract_x
_atom_site_fract_y
_atom_site_fract_z
_atom_site_occupancy
Tb1 Tb 0.152 0.000 0.442 1
Pr1 Pr 0.000 0.500 0.000 1
Tm1 Tm 0.074 0.000 0.726 1
Th1 Th 0.233 0.000 0.154 1

---

| no. | V (Å³/cell) |
| --- | --- |
| 1 | 357.5 |
| 2 | 192.5 |
| 3 | 467.1 |
| 4 | 409.2 |
| 5 | 140.9 |
| 6 | 461.5 |